Entry 1:
## Mg2AlTl (GGA-PBEsol)

Data for Mg2AlTl after structural relaxation.

POSCAR file:
```
Mg2AlTl
1.0
-1.3505 -0.4566 2.9273
-0.6649 -4.9307 -1.0758
4.6639 -1.0623 1.9860
Mg Tl Al
2 1 1
Direct
0.0000 0.0000 0.0646
0.0000 0.5000 0.6922
0.5000 0.0000 0.5570
0.5000 0.5000 0.1862
```

Its space group is Pmm2, No. 25. The formation energy comes out at 19 meV/atom.


Entry 2:
## AlIr3Ru (GGA-PBEsol)

Data for AlIr3Ru after structural relaxation.

POSCAR file:
```
AlIr3Ru
1.0
-1.5076 -2.4306 3.2616
4.0202 -0.3606 1.5895
-0.6195 3.5750 2.3778
Ru Ir Al
1 3 1
Direct
0.5000 0.5000 0.5000
0.5000 0.0000 0.0000
0.0000 0.5000 0.0000
0.0000 0.0000 0.5000
0.0000 0.0000 0.0000
```

Its space group is Pm-3m, No. 221. The formation energy comes out at 1523 meV/atom.


Entry 3:
## CsCa2Ga2 (GGA-PBEsol)

Data for CsCa2Ga2 after structural relaxation.

POSCAR file:
```
CsCa2Ga2
1.0
5.5909 0.0000 0.0000
0.0000 5.5909 0.0000
-2.7954 -2.7954 6.1871
Ga Cs Ca
2 1 2
Direct
0.2500 0.7500 0.5000
0.7500 0.2500 0.5000
0.0000 0.0000 0.0000
0.6643 0.6643 0.3286
0.3357 0.3357 0.6714
```

Its space group is I4/mmm, No. 139. The formation energy comes out at 102 meV/atom.


Entry 4:
## SrLi2Tl (GGA-PBEsol)

Data for SrLi2Tl after structural relaxation.

POSCAR file:
```
SrLi2Tl
1.0
-0.9156 2.7582 2.4037
-4.8923 -0.6605 -1.1056
-0.2834 -4.3831 3.8725
Li Sr Tl
2 1 1
Direct
0.1925 0.0000 0.3164
0.8075 0.0000 0.6836
0.5000 0.5000 0.0000
0.0000 0.5000 0.5000
```

Its space group is P2/m, No. 10. The formation energy comes out at -149 meV/atom.


Entry 5:
## RbMg5 (GGA-PBEsol)

Data for RbMg5 after structural relaxation.

POSCAR file:
```
RbMg5
1.0
-2.6320 1.0675 2.2452
1.6975 -1.6173 2.7589
6.5313 10.9967 2.4279
Mg Rb
5 1
Direct
0.5000 0.5000 0.1334
0.5000 0.5000 0.8666
0.0000 0.0000 0.0000
0.0000 0.0000 0.2678
0.0000 0.0000 0.7322
0.5000 0.5000 0.5000
```

Its space group is P4/mmm, No. 123. The formation energy comes out at 134 meV/atom.


Entry 6:
## Ca2Pb (GGA-PBEsol)

Data for Ca2Pb after structural relaxation.

POSCAR file:
```
Ca2Pb
1.0
5.2476 0.0000 0.0000
0.0000 7.3345 0.0000
0.0000 0.0000 9.5026
Ca Pb
8 4
Direct
0.7500 0.3100 0.9242
0.7500 0.4849 0.2906
0.7500 0.8100 0.5758
0.2500 0.6900 0.0758
0.7500 0.9849 0.2094
0.2500 0.5151 0.7094
0.2500 0.1900 0.4242
0.2500 0.0151 0.7906
0.7500 0.2606 0.5964
0.2500 0.7394 0.4036
0.7500 0.7606 0.9036
0.2500 0.2394 0.0964
```

Its space group is Pnma, No. 62. The formation energy comes out at -598 meV/atom.